Computed, not measured: an optimized crystal structure of Hf2ReGe at the GGA-PBE level of DFT.

Computed properties:
- ΔH_f (0 K) (meV/atom) = -356

Lattice parameters (Å, degrees): 4.5497 4.5497 3.4793 90.00 90.00 90.00
With the nearest neighbours (Å) after each atom.
Space group P4/mmm (No. 123)
Symmetry-distinct sites (fractional):
Hf 0.0000 0.5000 0.0000 x2  4 Ge 2.86, 4 Re 2.86
Re 0.0000 0.0000 0.5000 x1  8 Hf 2.86
Ge 0.5000 0.5000 0.5000 x1  8 Hf 2.86

Computed, not measured: an optimized crystal structure of Na2IrN at the GGA-PBE level of DFT.

Computed properties:
- electronic total energy (eV/atom) = -3.379

Lattice parameters (Å, degrees): 6.3047 6.3047 6.3047 90.00 90.00 90.00
With the nearest neighbours (Å) after each atom.
Space group Fm-3m (No. 225)
Symmetry-distinct sites (fractional):
Na 0.2500 0.2500 0.2500 x8  4 Ir 2.73, 4 N 2.73
Ir 0.0000 0.0000 0.0000 x4  8 Na 2.73
N 0.0000 0.0000 0.5000 x4  8 Na 2.73

| no. | size of the total moment (μB/f.u.) |
| --- | --- |
| 1 | 0.000 |
| 2 | 0.000 |